<1>
DFT (PBEsol) results for an optimized crystal structure of Zr2CdHg.

Structure (CIF):
```
data_Zr2CdHg
_symmetry_space_group_name_H-M 'P 4/m m m'
_symmetry_Int_Tables_number 123
_symmetry_space_group_name_Hall '-P 4 2'
_cell_length_a 3.078
_cell_length_b 3.078
_cell_length_c 8.635
_cell_angle_alpha 90.00
_cell_angle_beta 90.00
_cell_angle_gamma 90.00
loop_
_atom_site_label
_atom_site_fract_x
_atom_site_fract_y
_atom_site_fract_z
_atom_site_occupancy
Zr1 0.000 0.000 0.247 1
Cd1 0.500 0.500 0.500 1
Hg1 0.500 0.500 0.000 1
```

DOS(E_F): 1.034 states/eV per atom

***

<2>
DFT (PBEsol) results for an optimized crystal structure of Zr2CdHg.

Structure (CIF):
```
data_Zr2CdHg
_symmetry_space_group_name_H-M 'I m m 2'
_symmetry_Int_Tables_number 44
_cell_length_a 3.189
_cell_length_b 5.177
_cell_length_c 10.129
_cell_angle_alpha 90.00
_cell_angle_beta 90.00
_cell_angle_gamma 90.00
loop_
_symmetry_equiv_pos_as_xyz
'x,y,z'
'-x,-y,z'
'-x,y,z'
'x,-y,z'
'x+1/2,y+1/2,z+1/2'
'-x+1/2,-y+1/2,z+1/2'
'-x+1/2,y+1/2,z+1/2'
'x+1/2,-y+1/2,z+1/2'
loop_
_atom_site_label
_atom_site_fract_x
_atom_site_fract_y
_atom_site_fract_z
_atom_site_occupancy
Zr1 0.000 0.000 0.000 1
Zr2 0.000 0.500 0.247 1
Cd1 0.000 0.000 0.486 1
Hg1 0.000 0.500 0.751 1
```

DOS(E_F): 0.821 states/eV per atom

***

Which of them is the least stable? Correct choice: <2>.

***

<1>
DFT (PBEsol) results for an optimized crystal structure of Y2SiTe.

Structure (CIF):
```
data_Y2SiTe
_symmetry_space_group_name_H-M 'C m m m'
_symmetry_Int_Tables_number 65
_symmetry_space_group_name_Hall '-C 2 2'
_cell_length_a 4.571
_cell_length_b 5.534
_cell_length_c 7.700
_cell_angle_alpha 90.00
_cell_angle_beta 90.00
_cell_angle_gamma 90.00
loop_
_atom_site_label
_atom_site_fract_x
_atom_site_fract_y
_atom_site_fract_z
_atom_site_occupancy
Y1 0.000 0.000 0.232 1
Si1 0.000 0.500 0.000 1
Te1 0.000 0.500 0.500 1
```

DOS(E_F): 0.466 states/eV per atom

***

<2>
DFT (PBEsol) results for an optimized crystal structure of Y2SiTe.

Structure (CIF):
```
data_Y2SiTe
_symmetry_space_group_name_H-M 'R -3 m'
_symmetry_Int_Tables_number 166
_symmetry_space_group_name_Hall '-R 3 2"'
_cell_length_a 4.1625
_cell_length_b 4.1625
_cell_length_c 20.9937
_cell_angle_alpha 90.00
_cell_angle_beta 90.00
_cell_angle_gamma 120.00
loop_
_atom_site_label
_atom_site_fract_x
_atom_site_fract_y
_atom_site_fract_z
_atom_site_occupancy
Y1 0.0000 0.0000 0.2404 1
Si1 0.0000 0.0000 0.5000 1
Te1 0.0000 0.0000 0.0000 1
```

DOS(E_F): 0.190 states/eV per atom

***

Which of them is the least stable? Correct choice: <1>.

***

<1>
DFT (PBEsol) results for an optimized crystal structure of Tl3PdW.

Structure (CIF):
```
data_Tl3PdW
_symmetry_space_group_name_H-M 'P m -3 m'
_symmetry_Int_Tables_number 221
_symmetry_space_group_name_Hall '-P 4 2 3'
_cell_length_a 5.230
_cell_length_b 5.230
_cell_length_c 5.230
_cell_angle_alpha 90.00
_cell_angle_beta 90.00
_cell_angle_gamma 90.00
loop_
_atom_site_label
_atom_site_fract_x
_atom_site_fract_y
_atom_site_fract_z
_atom_site_occupancy
Tl1 0.000 0.000 0.500 1
Pd1 0.500 0.500 0.500 1
W1 0.000 0.000 0.000 1
```

DOS(E_F): 0.679 states/eV per atom

***

<2>
DFT (PBEsol) results for an optimized crystal structure of Tl3PdW.

Structure (CIF):
```
data_Tl3PdW
_symmetry_space_group_name_H-M 'P m -3 m'
_symmetry_Int_Tables_number 221
_symmetry_space_group_name_Hall '-P 4 2 3'
_cell_length_a 5.153
_cell_length_b 5.153
_cell_length_c 5.153
_cell_angle_alpha 90.00
_cell_angle_beta 90.00
_cell_angle_gamma 90.00
loop_
_atom_site_label
_atom_site_fract_x
_atom_site_fract_y
_atom_site_fract_z
_atom_site_occupancy
Tl1 0.000 0.000 0.500 1
Pd1 0.000 0.000 0.000 1
W1 0.500 0.500 0.500 1
```

DOS(E_F): 0.561 states/eV per atom

***

Which of them is the least stable? Correct choice: <2>.

***

<1>
DFT (PBEsol) results for an optimized crystal structure of CdHg2Te.

Structure (CIF):
```
data_CdHg2Te
_symmetry_space_group_name_H-M 'C 1 2/m 1'
_symmetry_Int_Tables_number 12
_cell_length_a 5.814
_cell_length_b 11.916
_cell_length_c 3.009
_cell_angle_alpha 90.00
_cell_angle_beta 90.07
_cell_angle_gamma 90.00
loop_
_symmetry_equiv_pos_as_xyz
'x,y,z'
'-x,-y,-z'
'-x,y,-z'
'x,-y,z'
'x+1/2,y+1/2,z'
'-x+1/2,-y+1/2,-z'
'-x+1/2,y+1/2,-z'
'x+1/2,-y+1/2,z'
loop_
_atom_site_label
_atom_site_fract_x
_atom_site_fract_y
_atom_site_fract_z
_atom_site_occupancy
Cd1 0.000 0.000 0.000 1
Hg1 0.250 0.250 0.500 1
Te1 0.000 0.500 0.000 1
```

DOS(E_F): 0.436 states/eV per atom

***

<2>
DFT (PBEsol) results for an optimized crystal structure of CdHg2Te.

Structure (CIF):
```
data_CdHg2Te
_symmetry_space_group_name_H-M 'C m m m'
_symmetry_Int_Tables_number 65
_symmetry_space_group_name_Hall '-C 2 2'
_cell_length_a 3.815
_cell_length_b 4.812
_cell_length_c 10.874
_cell_angle_alpha 90.00
_cell_angle_beta 90.00
_cell_angle_gamma 90.00
loop_
_atom_site_label
_atom_site_fract_x
_atom_site_fract_y
_atom_site_fract_z
_atom_site_occupancy
Cd1 0.000 0.000 0.000 1
Hg1 0.000 0.500 0.234 1
Te1 0.000 0.000 0.500 1
```

DOS(E_F): 0.467 states/eV per atom

***

Which of them is the least stable? Correct choice: <2>.

***

<1>
DFT (PBEsol) results for an optimized crystal structure of TlSbPb2.

Structure (CIF):
```
data_TlSbPb2
_symmetry_space_group_name_H-M 'C 1 m 1'
_symmetry_Int_Tables_number 8
_cell_length_a 11.517
_cell_length_b 3.444
_cell_length_c 5.891
_cell_angle_alpha 90.00
_cell_angle_beta 101.04
_cell_angle_gamma 90.00
loop_
_symmetry_equiv_pos_as_xyz
'x,y,z'
'x,-y,z'
'x+1/2,y+1/2,z'
'x+1/2,-y+1/2,z'
loop_
_atom_site_label
_atom_site_fract_x
_atom_site_fract_y
_atom_site_fract_z
_atom_site_occupancy
Tl1 0.000 0.000 0.000 1
Sb1 0.247 0.500 0.267 1
Pb1 0.246 0.000 0.760 1
Pb2 0.494 0.000 0.487 1
```

DOS(E_F): 0.457 states/eV per atom

***

<2>
DFT (PBEsol) results for an optimized crystal structure of TlSbPb2.

Structure (CIF):
```
data_TlSbPb2
_symmetry_space_group_name_H-M 'C m m m'
_symmetry_Int_Tables_number 65
_symmetry_space_group_name_Hall '-C 2 2'
_cell_length_a 3.770
_cell_length_b 5.510
_cell_length_c 10.974
_cell_angle_alpha 90.00
_cell_angle_beta 90.00
_cell_angle_gamma 90.00
loop_
_atom_site_label
_atom_site_fract_x
_atom_site_fract_y
_atom_site_fract_z
_atom_site_occupancy
Tl1 0.000 0.000 0.000 1
Sb1 0.000 0.000 0.500 1
Pb1 0.000 0.500 0.258 1
```

DOS(E_F): 0.627 states/eV per atom

***

Which of them is the least stable? Correct choice: <2>.

***

<1>
DFT (PBEsol) results for an optimized crystal structure of ZnCdIn2.

Structure (CIF):
```
data_ZnCdIn2
_symmetry_space_group_name_H-M 'I 4/m m m'
_symmetry_Int_Tables_number 139
_symmetry_space_group_name_Hall '-I 4 2'
_cell_length_a 4.544
_cell_length_b 4.544
_cell_length_c 8.362
_cell_angle_alpha 90.00
_cell_angle_beta 90.00
_cell_angle_gamma 90.00
loop_
_atom_site_label
_atom_site_fract_x
_atom_site_fract_y
_atom_site_fract_z
_atom_site_occupancy
Zn1 0.000 0.000 0.000 1
Cd1 0.000 0.000 0.500 1
In1 0.000 0.500 0.250 1
```

DOS(E_F): 0.403 states/eV per atom

***

<2>
DFT (PBEsol) results for an optimized crystal structure of ZnCdIn2.

Structure (CIF):
```
data_ZnCdIn2
_symmetry_space_group_name_H-M 'C 1 m 1'
_symmetry_Int_Tables_number 8
_cell_length_a 9.676
_cell_length_b 3.266
_cell_length_c 5.582
_cell_angle_alpha 90.00
_cell_angle_beta 103.07
_cell_angle_gamma 90.00
loop_
_symmetry_equiv_pos_as_xyz
'x,y,z'
'x,-y,z'
'x+1/2,y+1/2,z'
'x+1/2,-y+1/2,z'
loop_
_atom_site_label
_atom_site_fract_x
_atom_site_fract_y
_atom_site_fract_z
_atom_site_occupancy
Zn1 0.000 0.000 0.000 1
Cd1 0.266 0.000 0.769 1
In1 0.007 0.500 0.514 1
In2 0.243 0.500 0.230 1
```

DOS(E_F): 0.394 states/eV per atom

***

Which of them is the least stable? Correct choice: <1>.